No. 1
First-principles (PBE) data for crystalline Li3NbW at its relaxed geometry, as listed in Alexandria.

```
data_Li3NbW
_symmetry_space_group_name_H-M 'P 1'
_symmetry_Int_Tables_number 1
_cell_length_a 4.5319
_cell_length_b 4.5319
_cell_length_c 4.5319
_cell_angle_alpha 90.00
_cell_angle_beta 90.00
_cell_angle_gamma 90.00
loop_
_symmetry_equiv_pos_as_xyz
'x,y,z'
loop_
_atom_site_label
_atom_site_fract_x
_atom_site_fract_y
_atom_site_fract_z
_atom_site_occupancy
Li1 0.0000 0.0000 0.5000 1
Li2 0.0000 0.5000 0.0000 1
Li3 0.5000 0.0000 0.0000 1
Nb1 0.5000 0.5000 0.5000 1
W1 0.0000 0.0000 0.0000 1
```

**Offset from the most stable computed form**: 0 kJ/mol of formula units
**Crystal system**: cubic
**SG**: Pm-3m (221)

=====

No. 2
First-principles (PBE) data for crystalline In2GaPRu at its relaxed geometry, as listed in Alexandria.

```
data_In2GaPRu
_symmetry_space_group_name_H-M 'P 1'
_symmetry_Int_Tables_number 1
_cell_length_a 5.2500
_cell_length_b 5.2500
_cell_length_c 4.4139
_cell_angle_alpha 90.00
_cell_angle_beta 90.00
_cell_angle_gamma 90.00
loop_
_symmetry_equiv_pos_as_xyz
'x,y,z'
loop_
_atom_site_label
_atom_site_fract_x
_atom_site_fract_y
_atom_site_fract_z
_atom_site_occupancy
In1 0.0000 0.5000 0.0000 1
In2 0.5000 0.0000 0.0000 1
Ga1 0.0000 0.0000 0.5000 1
P1 0.5000 0.5000 0.5000 1
Ru1 0.5000 0.5000 0.0000 1
```

**Crystal system**: tetragonal
**SG**: P4/mmm (123)

=====

Result set for E_form: 1861; 171 meV per atom, one per record in the order listed.
Result set for E_tot: -3.891; -4.467 eV per atom, one per record in the order listed.